TbErSc2Se6 | PBE-GGA | relaxed

* magnetization: 0.00 μB per cell
* formation energy (no corrections): -1.7497 eV/atom

Unit cell a=6.9932 b=6.9932 c=7.4708 alpha=62.09 beta=62.09 gamma=60.00
With the nearest neighbours (Å) after each atom.
Fractional coordinates of all 10 atoms:
Se  0.1214  0.3952  0.7445  2 Sc 2.70-2.76, 1 Er 2.82, 1 Tb 2.91
Se  0.2379  0.8895  0.2455  2 Sc 2.70-2.76, 1 Tb 2.85, 1 Er 2.87
Se  0.3952  0.7389  0.7444  2 Sc 2.70-2.76, 1 Er 2.82, 1 Tb 2.91
Se  0.7389  0.1214  0.7445  2 Sc 2.70-2.76, 1 Er 2.82, 1 Tb 2.91
Se  0.6271  0.2379  0.2455  2 Sc 2.70-2.76, 1 Tb 2.85, 1 Er 2.87
Se  0.8895  0.6271  0.2455  2 Sc 2.70-2.76, 1 Tb 2.85, 1 Er 2.87
Sc  0.0102  0.0102  0.9693  6 Se 2.70-2.76
Sc  0.5093  0.5093  0.4722  6 Se 2.70-2.76
Tb  0.3151  0.3152  0.0545  6 Se 2.85-2.91
Er  0.8169  0.8169  0.5492  6 Se 2.82-2.87

***

ErGa3Au3 | PBE-GGA | relaxed

* formation energy: -37.7 kJ per mole of atoms
* magnetization: 0.00 μB per cell
* distance to the lowest polymorph of the same formula: 0 meV per atom

Unit cell a=8.0492 b=8.0492 c=7.2098 alpha=56.07 beta=56.07 gamma=60.00
With the nearest neighbours (Å) after each atom.
Fractional coordinates of all 14 atoms:
Ga  0.7810  0.0904  0.7300  4 Au 2.61-2.79
Ga  0.9096  0.6015  0.2700  4 Au 2.61-2.79
Ga  0.3985  0.7810  0.7300  4 Au 2.61-2.79
Ga  0.6015  0.2190  0.2700  4 Au 2.61-2.79
Ga  0.0904  0.3985  0.7300  4 Au 2.61-2.79
Ga  0.2190  0.9096  0.2700  4 Au 2.61-2.79
Er  0.3342  0.3342  0.9973  6 Au 2.99-3.00, 6 Ga 3.15-3.17
Er  0.6658  0.6658  0.0027  6 Au 2.99-3.00, 6 Ga 3.15-3.17
Au  0.5688  0.9144  0.2579  4 Ga 2.61-2.79
Au  0.4312  0.0856  0.7421  4 Ga 2.61-2.79
Au  0.0856  0.7411  0.7421  4 Ga 2.61-2.79
Au  0.9144  0.2589  0.2579  4 Ga 2.61-2.79
Au  0.7411  0.4312  0.7421  4 Ga 2.61-2.79
Au  0.2589  0.5688  0.2579  4 Ga 2.61-2.79

***

Te6Se7 | PBE-GGA | relaxed

* magnetization: 0.00 μB per cell
* formation energy (no corrections): 0.2689 eV/atom

Unit cell a=9.2421 b=9.2421 c=9.2421 alpha=47.02 beta=47.02 gamma=47.02
With the nearest neighbours (Å) after each atom.
Fractional coordinates of all 13 atoms:
Se  0.5774  0.5774  0.0971  3 Te 2.72-3.00, 1 Se 2.88
Se  0.4226  0.4226  0.9029  3 Te 2.72-3.00, 1 Se 2.88
Se  0.4226  0.9029  0.4226  3 Te 2.72-3.00, 1 Se 2.88
Se  0.5774  0.0971  0.5774  3 Te 2.72-3.00, 1 Se 2.88
Se  0.5000  0.5000  0.5000  6 Se 2.88
Se  0.9029  0.4226  0.4226  3 Te 2.72-3.00, 1 Se 2.88
Se  0.0971  0.5774  0.5774  3 Te 2.72-3.00, 1 Se 2.88
Te  0.0528  0.0528  0.0528  1 Te 2.60
Te  0.8152  0.8152  0.8152  3 Se 2.72
Te  0.9472  0.9472  0.9472  1 Te 2.60
Te  0.6683  0.6683  0.6683  6 Se 2.94-3.00
Te  0.3317  0.3317  0.3317  6 Se 2.94-3.00
Te  0.1848  0.1848  0.1848  3 Se 2.72

***

SrZnMo2 | PBE-GGA | relaxed

* formation energy: 68.4 kJ per mole of atoms
* magnetization: 0.00 μB per cell

Unit cell a=5.7677 b=5.7677 c=5.7677 alpha=146.32 beta=124.13 gamma=66.85
With the nearest neighbours (Å) after each atom.
Fractional coordinates of all 4 atoms:
Zn  0.2180  0.7180  0.5000  2 Mo 2.86
Mo  0.9767  0.9767  0.0000  2 Mo 2.41
Mo  0.7971  0.2971  0.5000  2 Mo 2.41
Sr  0.5083  0.5083  0.0000  8 Mo 3.19-3.38, 4 Zn 3.26-3.37, 2 Sr 3.34

***

InSnIO2 | PBE-GGA | relaxed

* magnetization: 0.00 μB per cell
* formation energy (no corrections): -0.2422 eV/atom
* distance to the lowest polymorph of the same formula: 226 meV per atom

Unit cell a=4.5101 b=4.5101 c=5.7627 alpha=90.00 beta=90.00 gamma=90.00
With the nearest neighbours (Å) after each atom.
Fractional coordinates of all 5 atoms:
Sn  0.5000  0.5000  0.5000  4 I 3.19
O  0.5000  0.0000  0.0000  2 In 2.26
O  0.0000  0.5000  0.0000  2 In 2.26
I  0.0000  0.0000  0.5000  2 In 2.88, 4 Sn 3.19
In  0.0000  0.0000  0.0000  4 O 2.26

***

Pr5MgBi2 | PBE-GGA | relaxed

* formation energy: -23.6 kJ per mole of atoms
* magnetization: 0.00 μB per cell

Unit cell a=5.8045 b=6.8099 c=15.4364 alpha=90.00 beta=90.00 gamma=115.23
With the nearest neighbours (Å) after each atom.
Fractional coordinates of all 16 atoms:
Bi  0.2030  0.4059  0.6219  5 Pr 3.27-3.36, 2 Mg 3.51
Bi  0.7970  0.5941  0.3781  5 Pr 3.27-3.36, 2 Mg 3.51
Bi  0.7970  0.5941  0.1219  5 Pr 3.27-3.36, 2 Mg 3.51
Bi  0.2030  0.4059  0.8781  5 Pr 3.27-3.36, 2 Mg 3.51
Pr  0.5854  0.1708  0.2500  2 Bi 3.27, 1 Mg 3.66
Pr  0.9336  0.8673  0.6012  1 Bi 3.33, 3 Pr 3.53-3.71, 1 Mg 3.58
Pr  0.4146  0.8292  0.7500  2 Bi 3.27, 1 Mg 3.66
Pr  0.6248  0.2497  0.9532  3 Bi 3.27-3.36, 1 Mg 3.31, 1 Pr 3.40
Pr  0.9336  0.8673  0.8988  1 Bi 3.33, 3 Pr 3.53-3.71, 1 Mg 3.58
Pr  0.6248  0.2497  0.5468  3 Bi 3.27-3.36, 1 Mg 3.31, 1 Pr 3.40
Pr  0.3752  0.7503  0.0468  3 Bi 3.27-3.36, 1 Mg 3.31, 1 Pr 3.40
Pr  0.0664  0.1327  0.1012  1 Bi 3.33, 3 Pr 3.53-3.71, 1 Mg 3.58
Pr  0.3752  0.7503  0.4532  3 Bi 3.27-3.36, 1 Mg 3.31, 1 Pr 3.40
Pr  0.0664  0.1327  0.3988  1 Bi 3.33, 3 Pr 3.53-3.71, 1 Mg 3.58
Mg  0.2887  0.5774  0.2500  5 Pr 3.31-3.66, 4 Bi 3.51
Mg  0.7113  0.4226  0.7500  5 Pr 3.31-3.66, 4 Bi 3.51

***

SrCoSb2 | PBE-GGA | relaxed

* magnetization: 0.00 μB per cell
* formation energy (no corrections): -0.3251 eV/atom

Unit cell a=4.1055 b=5.2185 c=5.2193 alpha=68.47 beta=90.00 gamma=90.00
With the nearest neighbours (Å) after each atom.
Fractional coordinates of all 4 atoms:
Sr  0.5000  0.2500  0.2500  2 Co 2.94
Sb  0.0000  0.9230  0.9247  2 Co 2.54
Sb  0.0000  0.5770  0.5753  2 Co 2.54
Co  0.5000  0.7500  0.7500  4 Sb 2.54

***

Q: What is the formula in the fifth record?
A: InSnIO2